Tb8ZnIn2: relaxed, PBE-GGA.

Lattice parameters (Å, degrees): 9.334 9.334 6.743 93.27 93.27 32.66
Fractional coordinates of all 11 atoms:
Tb1 0.032 0.032 0.265
Tb2 0.213 0.213 0.108
Tb3 0.334 0.334 0.595
Tb4 0.410 0.410 0.094
Tb5 0.590 0.590 0.906
Tb6 0.666 0.666 0.405
Tb7 0.787 0.787 0.892
Tb8 0.968 0.968 0.735
Zn1 0.500 0.500 0.500
In1 0.155 0.155 0.658
In2 0.845 0.845 0.342

E_form in eV/atom: -0.23
Electronic total energy in Ry/atom: -0.3098
SG: C2/m, No. 12
Energy above the lowest structure with this stoichiometry in eV/atom: 0.000